The following is a GGA+U calculation of an optimized crystal structure of CoAgOF2, from Alexandria via LeMat-Bulk.

Lattice parameters (Å, degrees): 4.135 4.135 3.669 90.00 90.00 90.00
Atoms (fractional coordinates):
Co 0.000 0.000 0.000
Ag 0.500 0.500 0.500
O 0.000 0.000 0.500
F 0.000 0.500 0.000
F 0.500 0.000 0.000

Energy above the lowest structure with this stoichiometry   0 meV per atom
Total DFT energy (no corrections)   -4.47 eV/atom
D(E_F)   0.406 states/eV per cell